[1]
Computed, not measured: an optimized crystal structure of Ba2SrLa at the PBE level of DFT.

## Properties
The space-group type is P2/m (10). For the formation energy, the calculation gives 14 kJ/mol of atoms. The polymorph energy (0 for the lowest one) comes out at 28.3 meV/atom. The calculation puts the volume at 207.3 Å³/f.u.

Cell and atoms, written as POSCAR:
```
Ba2SrLa
1.0
4.040 0.000 0.000
0.000 6.615 0.000
-1.464 0.000 7.758
Ba Sr La
2 1 1
direct
0.248 0.000 0.241 Ba
0.752 0.000 0.759 Ba
0.000 0.500 0.500 Sr
0.500 0.500 0.000 La
```

***

[2]
Computed, not measured: an optimized crystal structure of Y2Al at the PBE level of DFT.

## Properties
The space-group type is P-3m1 (164). For the formation energy, the calculation gives -10 kJ/mol of atoms. The calculation puts the volume at 84.8 Å³/f.u.

Cell and atoms, written as POSCAR:
```
Y2Al
1.0
3.588 0.000 0.000
-1.794 3.107 0.000
0.000 0.000 7.612
Y Al
2 1
direct
0.333 0.667 0.299 Y
0.667 0.333 0.701 Y
0.000 0.000 0.000 Al
```

***

[3]
Computed, not measured: an optimized crystal structure of Zr3TiNi at the PBE level of DFT.

## Properties
The space-group type is Pm-3m (221). For the formation energy, the calculation gives 99 kJ/mol of atoms. The polymorph energy (0 for the lowest one) comes out at 633.6 meV/atom. The calculation puts the volume at 115.4 Å³/f.u.

Cell and atoms, written as POSCAR:
```
Zr3TiNi
1.0
4.868 0.000 0.000
0.000 4.868 0.000
0.000 0.000 4.868
Zr Ti Ni
3 1 1
direct
0.000 0.000 0.500 Zr
0.000 0.500 0.000 Zr
0.500 0.000 0.000 Zr
0.000 0.000 0.000 Ti
0.500 0.500 0.500 Ni
```

***

[4]
Computed, not measured: an optimized crystal structure of MgSn2Ge2Pt7 at the PBE level of DFT.

## Properties
The space-group type is C2/m (12). For the formation energy, the calculation gives -46 kJ/mol of atoms. The calculation puts the volume at 235.3 Å³/f.u.

Cell and atoms, written as POSCAR:
```
MgSn2Ge2Pt7
1.0
2.749 -2.752 0.000
2.749 2.752 0.000
-2.696 0.000 15.549
Mg Sn Ge Pt
1 2 2 7
direct
0.000 0.000 0.000 Mg
0.213 0.213 0.426 Sn
0.787 0.787 0.574 Sn
0.385 0.385 0.763 Ge
0.615 0.615 0.237 Ge
0.065 0.566 0.134 Pt
0.303 0.303 0.606 Pt
0.434 0.935 0.866 Pt
0.500 0.500 0.000 Pt
0.566 0.065 0.134 Pt
0.697 0.697 0.394 Pt
0.935 0.434 0.866 Pt
```

***

[5]
Computed, not measured: an optimized crystal structure of FeNiMo2H at the PBE level of DFT.

## Properties
The space-group type is P4/mmm (123). The polymorph energy (0 for the lowest one) comes out at 25.8 meV/atom. The calculation puts the volume at 55.2 Å³/f.u.

Cell and atoms, written as POSCAR:
```
FeNiMo2H
1.0
3.882 0.000 0.000
0.000 3.882 0.000
0.000 0.000 3.661
Fe Ni Mo H
1 1 2 1
direct
0.000 0.000 0.000 Fe
0.500 0.500 0.000 Ni
0.000 0.500 0.500 Mo
0.500 0.000 0.500 Mo
0.500 0.500 0.500 H
```

***

[6]
Computed, not measured: an optimized crystal structure of NbAuN2O at the PBE level of DFT.

## Properties
The space-group type is P4/mmm (123). The calculation puts the formation energy (no corrections) at 242 meV/atom. The calculation puts the volume at 68.7 Å³/f.u.

Cell and atoms, written as POSCAR:
```
NbAuN2O
1.0
4.176 0.000 0.000
0.000 4.176 0.000
0.000 0.000 3.940
Nb Au N O
1 1 2 1
direct
0.000 0.000 0.000 Nb
0.500 0.500 0.500 Au
0.000 0.500 0.000 N
0.500 0.000 0.000 N
0.000 0.000 0.500 O
```

***

[7]
Computed, not measured: an optimized crystal structure of AcMoAs at the PBE level of DFT.

## Properties
The space-group type is I4mm (107). For the formation energy, the calculation gives -16 kJ/mol of atoms. The polymorph energy (0 for the lowest one) comes out at 0.0 meV/atom. The calculation puts the volume at 68.7 Å³/f.u.

Cell and atoms, written as POSCAR:
```
AcMoAs
1.0
-1.737 1.737 5.697
1.737 -1.737 5.697
1.737 1.737 -5.697
Ac Mo As
1 1 1
direct
0.000 0.000 0.000 Ac
0.298 0.298 0.000 Mo
0.711 0.711 0.000 As
```

***

[8]
Computed, not measured: an optimized crystal structure of ZrCrRe4 at the PBE level of DFT.

## Properties
The space-group type is F-43m (216). For the formation energy, the calculation gives 5 kJ/mol of atoms. The calculation puts the volume at 101.4 Å³/f.u.

Cell and atoms, written as POSCAR:
```
ZrCrRe4
1.0
0.000 3.701 3.701
3.701 0.000 3.701
3.701 3.701 0.000
Zr Cr Re
1 1 4
direct
0.000 0.000 0.000 Zr
0.750 0.750 0.750 Cr
0.376 0.376 0.376 Re
0.376 0.376 0.873 Re
0.376 0.873 0.376 Re
0.873 0.376 0.376 Re
```

***

[9]
Computed, not measured: an optimized crystal structure of La2GeHRh6 at the PBE level of DFT.

## Properties
The space-group type is C2/m (12). The calculation puts the volume at 167.9 Å³/f.u.

Cell and atoms, written as POSCAR:
```
La2GeHRh6
1.0
4.368 -4.383 0.000
4.368 4.383 0.000
-4.351 0.000 4.385
La Ge H Rh
2 1 1 6
direct
0.249 0.751 0.000 La
0.751 0.249 0.000 La
0.000 0.000 0.500 Ge
0.500 0.500 0.500 H
0.273 0.727 0.500 Rh
0.274 0.274 0.046 Rh
0.275 0.275 0.502 Rh
0.725 0.725 0.498 Rh
0.726 0.726 0.954 Rh
0.727 0.273 0.500 Rh
```

***

[10]
Computed, not measured: an optimized crystal structure of KTaTe3 at the PBE level of DFT.

## Properties
The space-group type is Pm-3m (221). The polymorph energy (0 for the lowest one) comes out at 235.9 meV/atom. The calculation puts the formation energy (no corrections) at -326 meV/atom. The calculation puts the volume at 168.7 Å³/f.u.

Cell and atoms, written as POSCAR:
```
KTaTe3
1.0
5.525 0.000 0.000
0.000 5.525 0.000
0.000 0.000 5.525
K Ta Te
1 1 3
direct
0.000 0.000 0.000 K
0.500 0.500 0.500 Ta
0.000 0.500 0.500 Te
0.500 0.000 0.500 Te
0.500 0.500 0.000 Te
```

***

[11]
Computed, not measured: an optimized crystal structure of RbAs2Ir at the PBE level of DFT.

## Properties
The space-group type is I-42d (122). For the formation energy, the calculation gives -14 kJ/mol of atoms. The polymorph energy (0 for the lowest one) comes out at 0.0 meV/atom. The calculation puts the volume at 120.9 Å³/f.u.

Cell and atoms, written as POSCAR:
```
RbAs2Ir
1.0
-3.745 3.745 4.310
3.745 -3.745 4.310
3.745 3.745 -4.310
Rb As Ir
2 4 2
direct
0.000 0.000 0.000 Rb
0.750 0.250 0.500 Rb
0.245 0.125 0.620 As
0.375 0.755 0.880 As
0.505 0.625 0.380 As
0.875 0.495 0.120 As
0.250 0.750 0.500 Ir
0.500 0.500 0.000 Ir
```

***

[12]
Computed, not measured: an optimized crystal structure of Dy2Tm2Ru3 at the PBE level of DFT.

## Properties
The space-group type is P-1 (2). For the formation energy, the calculation gives -25 kJ/mol of atoms. The polymorph energy (0 for the lowest one) comes out at 51.2 meV/atom. The calculation puts the volume at 148.7 Å³/f.u.

Cell and atoms, written as POSCAR:
```
Dy2Tm2Ru3
1.0
3.401 0.000 0.000
-1.695 5.836 0.000
-0.001 -1.024 7.491
Dy Tm Ru
2 2 3
direct
0.073 0.144 0.205 Dy
0.927 0.856 0.795 Dy
0.178 0.357 0.660 Tm
0.822 0.643 0.340 Tm
0.346 0.691 0.056 Ru
0.500 0.000 0.500 Ru
0.654 0.309 0.944 Ru
```

***

[13]
Computed, not measured: an optimized crystal structure of Mo3PS at the PBE level of DFT.

## Properties
The space-group type is Pm-3m (221). The polymorph energy (0 for the lowest one) comes out at 0.0 meV/atom. The calculation puts the formation energy (no corrections) at 766 meV/atom. The calculation puts the volume at 86.2 Å³/f.u.

Cell and atoms, written as POSCAR:
```
Mo3PS
1.0
4.418 0.000 0.000
0.000 4.418 0.000
0.000 0.000 4.418
Mo P S
3 1 1
direct
0.000 0.000 0.500 Mo
0.000 0.500 0.000 Mo
0.500 0.000 0.000 Mo
0.500 0.500 0.500 P
0.000 0.000 0.000 S
```

***

Calculated raw total energy (Ry per atom), listed in the same order as above: -0.18155 -0.41581 -0.50281 -0.40913 -0.56951 -0.49609 -0.49219 -0.82845 -0.49563 -0.35286 -0.36176 -0.50160 -0.56153